# 1
Mg2PO | PBE | relaxed

Lattice parameters (Å, degrees): 5.850 5.850 5.850 122.28 122.28 86.09
Sites, in units of the cell vectors:
Mg1 0.037 0.625 0.912
Mg2 0.375 0.287 0.412
Mg3 0.713 0.125 0.088
Mg4 0.875 0.963 0.588
P1 0.250 0.750 0.500
P2 0.500 0.500 0.000
O1 0.000 0.000 0.000
O2 0.750 0.250 0.500

For the uncorrected formation energy, the calculation gives -1.28 eV per atom. Its total energy is -4.6666 eV per atom.


# 2
MgP4O11 | PBE | relaxed

Lattice parameters (Å, degrees): 5.471 22.586 7.574 90.00 111.29 90.00
Sites, in units of the cell vectors:
Mg1 0.003 0.115 0.364
Mg2 0.003 0.385 0.864
Mg3 0.997 0.615 0.136
Mg4 0.997 0.885 0.636
P1 0.316 0.071 0.805
P2 0.316 0.429 0.305
P3 0.323 0.679 0.560
P4 0.323 0.821 0.060
P5 0.402 0.695 0.974
P6 0.402 0.805 0.474
P7 0.403 0.038 0.200
P8 0.403 0.462 0.700
P9 0.597 0.538 0.300
P10 0.597 0.962 0.800
P11 0.598 0.195 0.526
P12 0.598 0.305 0.026
P13 0.677 0.179 0.940
P14 0.677 0.321 0.440
P15 0.684 0.571 0.695
P16 0.684 0.929 0.195
O1 0.088 0.074 0.628
O2 0.088 0.426 0.128
O3 0.089 0.657 0.405
O4 0.089 0.843 0.905
O5 0.199 0.680 0.052
O6 0.199 0.820 0.552
O7 0.219 0.050 0.297
O8 0.219 0.450 0.797
O9 0.235 0.047 0.971
O10 0.235 0.453 0.471
O11 0.257 0.695 0.740
O12 0.257 0.805 0.240
O13 0.336 0.566 0.253
O14 0.336 0.934 0.753
O15 0.342 0.165 0.475
O16 0.342 0.335 0.975
O17 0.434 0.135 0.874
O18 0.434 0.365 0.374
O19 0.438 0.535 0.699
O20 0.438 0.965 0.199
O21 0.466 0.734 0.511
O22 0.466 0.766 0.011
O23 0.534 0.234 0.989
O24 0.534 0.266 0.489
O25 0.562 0.035 0.801
O26 0.562 0.465 0.301
O27 0.566 0.635 0.626
O28 0.566 0.865 0.126
O29 0.658 0.665 0.025
O30 0.658 0.835 0.525
O31 0.664 0.066 0.247
O32 0.664 0.434 0.747
O33 0.743 0.195 0.760
O34 0.743 0.305 0.260
O35 0.765 0.547 0.529
O36 0.765 0.953 0.029
O37 0.781 0.550 0.203
O38 0.781 0.950 0.703
O39 0.801 0.180 0.448
O40 0.801 0.320 0.948
O41 0.911 0.157 0.095
O42 0.911 0.343 0.595
O43 0.912 0.574 0.872
O44 0.912 0.926 0.372

For the uncorrected formation energy, the calculation gives -2.22 eV per atom. Its total energy is -7.0797 eV per atom.


# 3
MgPO3 | PBE | relaxed

Lattice parameters (Å, degrees): 3.779 3.779 3.779 90.00 90.00 90.00
Sites, in units of the cell vectors:
Mg1 0.000 0.000 0.000
P1 0.500 0.500 0.500
O1 0.000 0.000 0.500
O2 0.000 0.500 0.000
O3 0.500 0.000 0.000

For the uncorrected formation energy, the calculation gives -0.23 eV per atom. Its total energy is -4.6044 eV per atom.


Please write out number 1 again, unchanged.
Mg2PO | PBE | relaxed

Lattice parameters (Å, degrees): 5.850 5.850 5.850 122.28 122.28 86.09
Sites, in units of the cell vectors:
Mg1 0.037 0.625 0.912
Mg2 0.375 0.287 0.412
Mg3 0.713 0.125 0.088
Mg4 0.875 0.963 0.588
P1 0.250 0.750 0.500
P2 0.500 0.500 0.000
O1 0.000 0.000 0.000
O2 0.750 0.250 0.500

For the uncorrected formation energy, the calculation gives -1.28 eV per atom. Its total energy is -4.6666 eV per atom.